First-principles (PBE) data for LiCuCO3F after structural relaxation, as listed in the Alexandria database.

a = 3.4953 Å, b = 4.6447 Å, c = 9.3561 Å
α = 90.00°, β = 90.00°, γ = 90.00°
Last column: nearest neighbours and their distance in Å.
Fractional positions:
1 Li 0.0000 0.2237 0.0000  1 F 1.84
2 Li 0.0000 0.7763 0.5000  1 F 1.84
3 Cu 0.5000 0.2938 0.6861  3 O 1.99-2.02, 2 F 2.02
4 Cu 0.5000 0.7062 0.1861  3 O 1.99-2.02, 2 F 2.02
5 C 0.5000 0.2466 0.3755  3 O 1.27-1.31
6 C 0.5000 0.7534 0.8755  3 O 1.27-1.31
7 O 0.5000 0.0988 0.4952  1 C 1.31
8 O 0.5000 0.1166 0.2559  1 C 1.27
9 O 0.5000 0.4713 0.8795  1 C 1.31
10 O 0.5000 0.5287 0.3795  1 C 1.31
11 O 0.5000 0.8834 0.7559  1 C 1.27
12 O 0.5000 0.9012 0.9952  1 C 1.31
13 F 0.0000 0.4814 0.6315  1 Li 1.84, 2 Cu 2.02
14 F 0.0000 0.5186 0.1315  1 Li 1.84, 2 Cu 2.02

Results
Size of the total moment: 1.0 μB/f.u.
E_form (uncorrected): -1.464 eV/atom

First-principles (PBE) data for PaNbAs2 after structural relaxation, as listed in the Alexandria database.

a = 7.0020 Å, b = 7.0020 Å, c = 7.0020 Å
α = 149.45°, β = 149.45°, γ = 43.75°
Last column: nearest neighbours and their distance in Å.
Fractional positions:
1 Pa 0.0000 0.0000 0.0000  8 As 3.02
2 Nb 0.2500 0.7500 0.5000  4 As 2.53
3 As 0.3834 0.3834 0.0000  2 Nb 2.53
4 As 0.6166 0.6166 0.0000  2 Nb 2.53

Results
Size of the total moment: 0.0 μB/f.u.
ΔH_f (0 K): -458.3 meV per atom
ΔE to the lowest computed polymorph: 84 kJ/mol of formula units

First-principles (PBE) data for Ag2OsBr after structural relaxation, as listed in the Alexandria database.

a = 5.4765 Å, b = 5.4765 Å, c = 2.7479 Å
α = 90.00°, β = 90.00°, γ = 118.66°
Last column: nearest neighbours and their distance in Å.
Fractional positions:
1 Ag 0.0000 0.5000 0.0000  4 Ag 2.75-2.79, 4 Br 3.06, 4 Os 3.06
2 Ag 0.5000 0.0000 0.0000  4 Ag 2.75-2.79, 4 Br 3.06, 4 Os 3.06
3 Os 0.0000 0.0000 0.5000  2 Os 2.75, 2 Br 2.79, 8 Ag 3.06
4 Br 0.5000 0.5000 0.5000  2 Br 2.75, 2 Os 2.79, 8 Ag 3.06

Results
Size of the total moment: 0.0 μB/f.u.
E_form (uncorrected): 0.904 eV/atom
ΔE to the lowest computed polymorph: 93 kJ/mol of formula units

First-principles (PBE) data for SmEr2Hg5 after structural relaxation, as listed in the Alexandria database.

a = 8.1808 Å, b = 8.1808 Å, c = 8.1808 Å
α = 142.84°, β = 142.84°, γ = 53.56°
Last column: nearest neighbours and their distance in Å.
Fractional positions:
1 Sm 0.0000 0.0000 0.0000  8 Hg 3.21
2 Er 0.2655 0.2655 0.0000  8 Hg 3.03-3.29
3 Er 0.7345 0.7345 0.0000  8 Hg 3.03-3.29
4 Hg 0.1283 0.6283 0.5000  4 Er 3.03-3.29, 2 Hg 3.21, 2 Sm 3.21
5 Hg 0.3717 0.8717 0.5000  4 Er 3.03-3.29, 2 Hg 3.21, 2 Sm 3.21
6 Hg 0.5000 0.5000 0.0000  8 Hg 3.21, 2 Er 3.42
7 Hg 0.6283 0.1283 0.5000  4 Er 3.03-3.29, 2 Hg 3.21, 2 Sm 3.21
8 Hg 0.8717 0.3717 0.5000  4 Er 3.03-3.29, 2 Hg 3.21, 2 Sm 3.21

Results
Size of the total moment: 0.0 μB/f.u.
ΔH_f (0 K): -430.9 meV per atom

First-principles (PBE) data for Sc12AlFe6 after structural relaxation, as listed in the Alexandria database.

a = 7.7818 Å, b = 7.7818 Å, c = 7.7818 Å
α = 109.47°, β = 109.47°, γ = 109.47°
Last column: nearest neighbours and their distance in Å.
Fractional positions:
1 Sc 0.0986 0.2928 0.8058  3 Fe 2.51-2.76
2 Sc 0.1942 0.4871 0.2928  3 Fe 2.51-2.76
3 Sc 0.1942 0.9014 0.7072  3 Fe 2.51-2.76
4 Sc 0.2928 0.1942 0.4871  3 Fe 2.51-2.76
5 Sc 0.2928 0.8058 0.0986  3 Fe 2.51-2.76
6 Sc 0.4871 0.2928 0.1942  3 Fe 2.51-2.76
7 Sc 0.5129 0.7072 0.8058  3 Fe 2.51-2.76
8 Sc 0.7072 0.1942 0.9014  3 Fe 2.51-2.76
9 Sc 0.7072 0.8058 0.5129  3 Fe 2.51-2.76
10 Sc 0.8058 0.0986 0.2928  3 Fe 2.51-2.76
11 Sc 0.8058 0.5129 0.7072  3 Fe 2.51-2.76
12 Sc 0.9014 0.7072 0.1942  3 Fe 2.51-2.76
13 Al 0.0000 0.0000 0.0000  12 Sc 3.16
14 Fe 0.1181 0.5000 0.6181  1 Fe 2.12
15 Fe 0.3819 0.8819 0.5000  1 Fe 2.12
16 Fe 0.5000 0.3819 0.8819  1 Fe 2.12
17 Fe 0.5000 0.6181 0.1181  1 Fe 2.12
18 Fe 0.6181 0.1181 0.5000  1 Fe 2.12
19 Fe 0.8819 0.5000 0.3819  1 Fe 2.12

Results
Size of the total moment: 5.1 μB/f.u.
ΔH_f (0 K): -124.4 meV per atom

First-principles (PBE) data for YCd2Pd after structural relaxation, as listed in the Alexandria database.

a = 4.1941 Å, b = 4.1941 Å, c = 4.9833 Å
α = 90.00°, β = 90.00°, γ = 90.00°
Last column: nearest neighbours and their distance in Å.
Fractional positions:
1 Y 0.0000 0.0000 0.0000  4 Pd 2.97, 8 Cd 3.26
2 Cd 0.0000 0.5000 0.5000  4 Cd 2.97, 4 Pd 3.26, 4 Y 3.26
3 Cd 0.5000 0.0000 0.5000  4 Cd 2.97, 4 Pd 3.26, 4 Y 3.26
4 Pd 0.5000 0.5000 0.0000  4 Y 2.97, 8 Cd 3.26

Results
Size of the total moment: 0.0 μB/f.u.
ΔH_f (0 K): -402.4 meV per atom

First-principles (PBE) data for TlSe2BrCl after structural relaxation, as listed in the Alexandria database.

a = 5.6232 Å, b = 5.6232 Å, c = 5.4943 Å
α = 90.00°, β = 90.00°, γ = 90.00°
Last column: nearest neighbours and their distance in Å.
Fractional positions:
1 Tl 0.0000 0.0000 0.0000  2 Br 2.75, 4 Se 2.81
2 Se 0.0000 0.5000 0.0000  2 Tl 2.81
3 Se 0.5000 0.0000 0.0000  2 Tl 2.81
4 Br 0.0000 0.0000 0.5000  2 Tl 2.75
5 Cl 0.5000 0.5000 0.5000  8 Se 3.93, 4 Br 3.98

Results
Size of the total moment: 3.3 μB/f.u.
E_form (uncorrected): 0.486 eV/atom
ΔE to the lowest computed polymorph: 105 kJ/mol of formula units

First-principles (PBE) data for CrAg2RuI after structural relaxation, as listed in the Alexandria database.

a = 5.2441 Å, b = 5.2441 Å, c = 4.8563 Å
α = 90.00°, β = 90.00°, γ = 90.00°
Last column: nearest neighbours and their distance in Å.
Fractional positions:
1 Cr 0.0000 0.0000 0.0000  8 Ag 3.57, 4 Ru 3.71
2 Ag 0.0000 0.5000 0.5000  2 I 2.62
3 Ag 0.5000 0.0000 0.5000  2 I 2.62
4 Ru 0.5000 0.5000 0.0000  2 I 2.43
5 I 0.5000 0.5000 0.5000  2 Ru 2.43, 4 Ag 2.62

Results
Size of the total moment: 4.7 μB/f.u.
E_form (uncorrected): 1.527 eV/atom

First-principles (PBE) data for KHg2PS4 after structural relaxation, as listed in the Alexandria database.

a = 6.7315 Å, b = 6.3622 Å, c = 7.1554 Å
α = 59.39°, β = 54.43°, γ = 66.18°
Last column: nearest neighbours and their distance in Å.
Fractional positions:
1 K 0.0000 0.0000 0.0000  6 S 3.34-3.49
2 Hg 0.1700 0.1700 0.3300  4 S 2.74-3.06
3 Hg 0.6700 0.6700 0.8300  4 S 2.74-3.06
4 P 0.4994 0.4994 0.5006  4 S 2.03-2.13
5 S 0.2055 0.5271 0.4729  1 P 2.03
6 S 0.4721 0.8295 0.5279  1 P 2.13
7 S 0.5271 0.2055 0.7945  1 P 2.03
8 S 0.8295 0.4721 0.1705  1 P 2.13

Results
Size of the total moment: 0.0 μB/f.u.
E_form (uncorrected): -0.344 eV/atom

First-principles (PBE) data for Si2SnRhN after structural relaxation, as listed in the Alexandria database.

a = 4.6935 Å, b = 4.6935 Å, c = 6.3332 Å
α = 103.31°, β = 103.31°, γ = 35.72°
Last column: nearest neighbours and their distance in Å.
Fractional positions:
1 Si 0.0000 0.0000 0.0000  2 N 1.87
2 Si 0.6562 0.6562 0.7491  1 N 1.89
3 Sn 0.8508 0.8508 0.3102  1 N 2.23
4 Rh 0.3609 0.3609 0.6852  5 Si 2.44-2.57
5 N 0.6375 0.6375 0.0405  3 Si 1.87-1.89

Results
Size of the total moment: 0.0 μB/f.u.
E_form (uncorrected): -0.338 eV/atom
ΔE to the lowest computed polymorph: 18 kJ/mol of formula units

First-principles (PBE) data for SmThHgIr after structural relaxation, as listed in the Alexandria database.

a = 8.0063 Å, b = 8.0063 Å, c = 8.0063 Å
α = 30.12°, β = 30.12°, γ = 30.12°
Last column: nearest neighbours and their distance in Å.
Fractional positions:
1 Sm 0.0000 0.0000 0.0000  3 Ir 2.88
2 Th 0.1999 0.1999 0.1999  3 Ir 2.81
3 Hg 0.7651 0.7651 0.7651  3 Sm 3.29, 3 Th 3.34
4 Ir 0.5973 0.5973 0.5973  3 Th 2.81, 3 Sm 2.88

Results
Size of the total moment: 0.0 μB/f.u.
ΔH_f (0 K): -622.9 meV per atom
ΔE to the lowest computed polymorph: 0 kJ/mol of formula units

First-principles (PBE) data for NaCa2Mg2 after structural relaxation, as listed in the Alexandria database.

a = 9.4180 Å, b = 9.4180 Å, c = 3.8719 Å
α = 90.00°, β = 90.00°, γ = 90.00°
Last column: nearest neighbours and their distance in Å.
Fractional positions:
1 Na 0.0000 0.0000 0.0000  4 Mg 3.76, 2 Na 3.87, 8 Ca 3.98
2 Na 0.5000 0.5000 0.0000  4 Mg 3.76, 2 Na 3.87, 8 Ca 3.98
3 Ca 0.1733 0.3267 0.5000  6 Mg 3.38-3.40
4 Ca 0.3267 0.8267 0.5000  6 Mg 3.38-3.40
5 Ca 0.6733 0.1733 0.5000  6 Mg 3.38-3.40
6 Ca 0.8267 0.6733 0.5000  6 Mg 3.38-3.40
7 Mg 0.1182 0.6182 0.0000  1 Mg 3.15, 6 Ca 3.38-3.40
8 Mg 0.3818 0.1182 0.0000  1 Mg 3.15, 6 Ca 3.38-3.40
9 Mg 0.6182 0.8818 0.0000  1 Mg 3.15, 6 Ca 3.38-3.40
10 Mg 0.8818 0.3818 0.0000  1 Mg 3.15, 6 Ca 3.38-3.40

Results
Size of the total moment: 0.0 μB/f.u.
ΔH_f (0 K): 35.1 meV per atom
ΔE to the lowest computed polymorph: 0 kJ/mol of formula units